{
  "formula": "InRe2Br",
  "functional": "GGA-PBE",
  "state": "relaxed",
  "dos_at_fermi_per_ev_cell": 4.90,
  "space_group": "Fm-3m",
  "mass_density_g_cm3": 13.7,
  "final_energy_ev_per_atom": -5.8970,
  "polymorph_energy_mev_per_atom": 1151,
  "e_form_raw_ev_per_fu": 5.72,
  "cell": [[0.123, -4.459, 1.111], [-3.897, -2.432, 0.180], [-0.868, -3.189, -3.195]],
  "species": ["Br", "Re", "Re", "In"],
  "fractional_positions": [[0.000, 0.000, 0.000], [0.250, 0.250, 0.250], [0.750, 0.750, 0.750], [0.500, 0.500, 0.500]]
}